[1]
VASP calculation (PBE-GGA) on a geometry-optimized BaMg2TcPd structure.

Computed properties:
- spin magnetization (μB per formula unit) = 0.00
- density of states at the Fermi level (states/eV per atom) = 0.73
- calculated formation energy (meV/atom) = 283

a b c (Å): 5.1893 5.1893 4.9446
angles (deg): 90.00 90.00 90.00
Closest atoms and distances in Å follow each position.
Space group P4/mmm (No. 123)
Symmetry-distinct sites (fractional):
Ba  0.0000  0.0000  0.0000  8 Mg 3.58, 4 Pd 3.67
Mg  0.0000  0.5000  0.5000  2 Tc 2.59
Tc  0.5000  0.5000  0.5000  2 Pd 2.47, 4 Mg 2.59
Pd  0.5000  0.5000  0.0000  2 Tc 2.47

***

[2]
VASP calculation (PBE-GGA) on a geometry-optimized Ba2MgTlPd structure.

Computed properties:
- spin magnetization (μB per formula unit) = 0.00
- density of states at the Fermi level (states/eV per atom) = 0.86
- energy above the most stable polymorph in this dataset (meV/atom) = 0
- calculated formation energy (meV/atom) = -311

a b c (Å): 6.1557 6.1557 5.0967
angles (deg): 90.00 90.00 90.00
Closest atoms and distances in Å follow each position.
Space group P4/mmm (No. 123)
Symmetry-distinct sites (fractional):
Ba  0.0000  0.5000  0.0000  2 Pd 3.08
Mg  0.0000  0.0000  0.5000  2 Pd 2.55
Tl  0.5000  0.5000  0.5000  8 Ba 4.00, 4 Mg 4.35
Pd  0.0000  0.0000  0.0000  2 Mg 2.55

***

[3]
VASP calculation (PBE-GGA) on a geometry-optimized BaMgTl2Pd structure.

Computed properties:
- spin magnetization (μB per formula unit) = 0.00
- density of states at the Fermi level (states/eV per atom) = 0.59
- calculated formation energy (meV/atom) = -283

a b c (Å): 5.4076 5.4076 5.1222
angles (deg): 90.00 90.00 90.00
Closest atoms and distances in Å follow each position.
Space group P4/mmm (No. 123)
Symmetry-distinct sites (fractional):
Ba  0.0000  0.0000  0.0000  8 Tl 3.72, 4 Mg 3.82
Mg  0.5000  0.5000  0.0000  2 Pd 2.56
Tl  0.0000  0.5000  0.5000  2 Pd 2.70
Pd  0.5000  0.5000  0.5000  2 Mg 2.56, 4 Tl 2.70